Entry 1:
# Y3Zn4Cd2

Crystalline Y3Zn4Cd2 at its relaxed geometry (PBE, Alexandria).

Computed properties:
- E_form: -0.35 eV per atom
- Space-group type: C2/m
- Calculated volume: 21.9 Å³ per atom

Lattice parameters (Å, degrees): 5.8253 5.8253 8.7587 113.03 113.03 47.04
Last column: nearest neighbours and their distance in Å.
Atoms (fractional coordinates):
Y  0.0000  0.0000  0.0000  8 Zn 3.14-3.26, 4 Cd 3.24
Y  0.3377  0.3377  0.3265  8 Zn 3.09-3.31, 4 Cd 3.18-3.24
Y  0.6623  0.6623  0.6735  8 Zn 3.09-3.31, 4 Cd 3.18-3.24
Zn  0.0571  0.0571  0.3969  1 Zn 2.58, 2 Cd 2.72
Zn  0.2727  0.2727  0.9476  2 Zn 2.62, 1 Cd 2.73
Zn  0.7273  0.7273  0.0524  2 Zn 2.62, 1 Cd 2.73
Zn  0.9429  0.9429  0.6031  1 Zn 2.58, 2 Cd 2.72
Cd  0.3810  0.3810  0.7160  3 Zn 2.72-2.73
Cd  0.6190  0.6190  0.2840  3 Zn 2.72-2.73

---

Entry 2:
# YZn2Cd

Crystalline YZn2Cd at its relaxed geometry (PBE, Alexandria).

Computed properties:
- E_form: -0.22 eV per atom
- Space-group type: P4/mmm
- Calculated volume: 21.1 Å³ per atom

Lattice parameters (Å, degrees): 4.4752 4.4752 4.2129 90.00 90.00 90.00
Last column: nearest neighbours and their distance in Å.
Atoms (fractional coordinates):
Y  0.0000  0.0000  0.0000  8 Zn 3.07, 4 Cd 3.16
Zn  0.0000  0.5000  0.5000  4 Cd 3.07, 4 Y 3.07, 4 Zn 3.16
Zn  0.5000  0.0000  0.5000  4 Cd 3.07, 4 Y 3.07, 4 Zn 3.16
Cd  0.5000  0.5000  0.0000  8 Zn 3.07, 4 Y 3.16

---

Entry 3:
# YZr2Cd

Crystalline YZr2Cd at its relaxed geometry (PBE, Alexandria).

Computed properties:
- E_form: 0.09 eV per atom
- Space-group type: R-3m
- Calculated volume: 24.6 Å³ per atom

Lattice parameters (Å, degrees): 10.9651 10.9651 10.9651 17.01 17.01 17.01
Last column: nearest neighbours and their distance in Å.
Atoms (fractional coordinates):
Y  0.0000  0.0000  0.0000  6 Y 3.24, 6 Zr 3.37
Zr  0.2470  0.2470  0.2470  3 Cd 3.21, 6 Zr 3.24, 3 Y 3.37
Zr  0.7530  0.7530  0.7530  3 Cd 3.21, 6 Zr 3.24, 3 Y 3.37
Cd  0.5000  0.5000  0.5000  6 Zr 3.21, 6 Cd 3.24

---

Entry 4:
# Y2ZrCd

Crystalline Y2ZrCd at its relaxed geometry (PBE, Alexandria).

Computed properties:
- E_form: 0.11 eV per atom
- Space-group type: F-43m
- Calculated volume: 26.2 Å³ per atom

Lattice parameters (Å, degrees): 5.2948 5.2948 5.2948 60.00 60.00 60.00
Last column: nearest neighbours and their distance in Å.
Atoms (fractional coordinates):
Y  0.0000  0.0000  0.0000  4 Zr 3.24, 4 Y 3.24
Y  0.2500  0.2500  0.2500  4 Cd 3.24, 4 Y 3.24
Zr  0.7500  0.7500  0.7500  4 Cd 3.24, 4 Y 3.24
Cd  0.5000  0.5000  0.5000  4 Zr 3.24, 4 Y 3.24

---

Entry 5:
# YZr2Cd

Crystalline YZr2Cd at its relaxed geometry (PBE, Alexandria).

Computed properties:
- E_form: 0.07 eV per atom
- Space-group type: Pmmm
- Calculated volume: 24.4 Å³ per atom

Lattice parameters (Å, degrees): 3.2979 4.6108 6.4116 90.00 90.00 90.00
Last column: nearest neighbours and their distance in Å.
Atoms (fractional coordinates):
Y  0.0000  0.0000  0.0000  2 Cd 3.21, 8 Zr 3.26, 2 Y 3.30
Zr  0.5000  0.5000  0.2513  4 Zr 3.19-3.30, 4 Cd 3.25, 4 Y 3.26
Zr  0.5000  0.5000  0.7487  4 Zr 3.19-3.30, 4 Cd 3.25, 4 Y 3.26
Cd  0.0000  0.0000  0.5000  2 Y 3.21, 8 Zr 3.25, 2 Cd 3.30

---

Entry 6:
# Y2ZrCd

Crystalline Y2ZrCd at its relaxed geometry (PBE, Alexandria).

Computed properties:
- E_form: -0.07 eV per atom
- Space-group type: Imm2
- Calculated volume: 27.0 Å³ per atom

Lattice parameters (Å, degrees): 6.5105 6.5105 6.5105 147.82 132.09 58.89
Last column: nearest neighbours and their distance in Å.
Atoms (fractional coordinates):
Y  0.0000  0.0000  0.0000  4 Cd 3.21, 2 Zr 3.57
Y  0.7166  0.2166  0.5000  2 Cd 3.19, 4 Zr 3.26
Zr  0.2719  0.7719  0.5000  2 Cd 3.01, 4 Y 3.26
Cd  0.4843  0.4843  0.0000  2 Zr 3.01, 6 Y 3.19-3.21

---

Entry 7:
# YZr4Cd

Crystalline YZr4Cd at its relaxed geometry (PBE, Alexandria).

Computed properties:
- E_form: 0.19 eV per atom
- Space-group type: F-43m
- Calculated volume: 24.9 Å³ per atom

Lattice parameters (Å, degrees): 5.9566 5.9566 5.9566 60.00 60.00 60.00
Last column: nearest neighbours and their distance in Å.
Atoms (fractional coordinates):
Y  0.0000  0.0000  0.0000  12 Zr 3.49, 4 Cd 3.65
Zr  0.1181  0.6273  0.6273  6 Zr 2.92-3.03
Zr  0.6273  0.1181  0.6273  6 Zr 2.92-3.03
Zr  0.6273  0.6273  0.1181  6 Zr 2.92-3.03
Zr  0.6273  0.6273  0.6273  6 Zr 2.92-3.03
Cd  0.2500  0.2500  0.2500  12 Zr 3.50, 4 Y 3.65

---

Entry 8:
# YZrCd2

Crystalline YZrCd2 at its relaxed geometry (PBE, Alexandria).

Computed properties:
- Polymorph energy (0 for the lowest one): 155 meV/atom
- E_form: -0.02 eV per atom
- Space-group type: R-3m
- Calculated volume: 25.3 Å³ per atom

Lattice parameters (Å, degrees): 10.1036 10.1036 10.1036 19.55 19.55 19.55
Last column: nearest neighbours and their distance in Å.
Atoms (fractional coordinates):
Y  0.0000  0.0000  0.0000  6 Cd 3.24, 6 Y 3.43
Zr  0.5000  0.5000  0.5000  6 Cd 3.10, 6 Zr 3.43
Cd  0.2470  0.2470  0.2470  3 Zr 3.10, 3 Y 3.24, 6 Cd 3.43
Cd  0.7530  0.7530  0.7530  3 Zr 3.10, 3 Y 3.24, 6 Cd 3.43

---

Entry 9:
# Y3Zr2Cd2

Crystalline Y3Zr2Cd2 at its relaxed geometry (PBE, Alexandria).

Computed properties:
- E_form: -0.08 eV per atom
- Space-group type: Cmmm
- Calculated volume: 26.5 Å³ per atom

Lattice parameters (Å, degrees): 11.6226 11.6226 3.3108 90.00 90.00 155.54
Last column: nearest neighbours and their distance in Å.
Atoms (fractional coordinates):
Y  0.0000  0.0000  0.0000  4 Y 3.31-3.39, 8 Cd 3.41
Y  0.1491  0.8509  0.0000  3 Y 3.31-3.39, 6 Zr 3.32-3.42, 4 Cd 3.42
Y  0.8509  0.1491  0.0000  3 Y 3.31-3.39, 6 Zr 3.32-3.42, 4 Cd 3.42
Zr  0.2760  0.7240  0.5000  2 Zr 2.73
Zr  0.7240  0.2760  0.5000  2 Zr 2.73
Cd  0.4259  0.5741  0.5000  3 Cd 3.31-3.37, 1 Zr 3.41, 8 Y 3.41-3.42
Cd  0.5741  0.4259  0.5000  3 Cd 3.31-3.37, 1 Zr 3.41, 8 Y 3.41-3.42

---

Entry 10:
# Y4ZrCd5

Crystalline Y4ZrCd5 at its relaxed geometry (PBE, Alexandria).

Computed properties:
- E_form: -0.28 eV per atom
- Space-group type: P4/mmm
- Calculated volume: 25.4 Å³ per atom

Lattice parameters (Å, degrees): 3.7134 3.7134 18.4168 90.00 90.00 90.00
Last column: nearest neighbours and their distance in Å.
Atoms (fractional coordinates):
Y  0.0000  0.0000  0.1033  8 Cd 3.24
Y  0.0000  0.0000  0.3089  8 Cd 3.23, 1 Zr 3.52
Y  0.0000  0.0000  0.6911  8 Cd 3.23, 1 Zr 3.52
Y  0.0000  0.0000  0.8967  8 Cd 3.24
Zr  0.0000  0.0000  0.5000  8 Cd 3.09
Cd  0.5000  0.5000  0.0000  8 Y 3.24
Cd  0.5000  0.5000  0.2063  8 Y 3.23-3.24
Cd  0.5000  0.5000  0.4113  4 Zr 3.09, 4 Y 3.23, 1 Cd 3.27
Cd  0.5000  0.5000  0.5887  4 Zr 3.09, 4 Y 3.23, 1 Cd 3.27
Cd  0.5000  0.5000  0.7937  8 Y 3.23-3.24

---

Entry 11:
# Y3ZrCd

Crystalline Y3ZrCd at its relaxed geometry (PBE, Alexandria).

Computed properties:
- Polymorph energy (0 for the lowest one): 0 meV/atom
- E_form: 0.60 eV per atom
- Space-group type: Pm-3m
- Calculated volume: 33.8 Å³ per atom

Lattice parameters (Å, degrees): 5.5275 5.5275 5.5275 90.00 90.00 90.00
Last column: nearest neighbours and their distance in Å.
Atoms (fractional coordinates):
Y  0.0000  0.0000  0.5000  2 Zr 2.76
Y  0.0000  0.5000  0.0000  2 Zr 2.76
Y  0.5000  0.0000  0.0000  2 Zr 2.76
Zr  0.0000  0.0000  0.0000  6 Y 2.76
Cd  0.5000  0.5000  0.5000  12 Y 3.91

---

Entry 12:
# YZrCd2

Crystalline YZrCd2 at its relaxed geometry (PBE, Alexandria).

Computed properties:
- Polymorph energy (0 for the lowest one): 60 meV/atom
- E_form: -0.11 eV per atom
- Space-group type: Pm
- Calculated volume: 24.3 Å³ per atom

Lattice parameters (Å, degrees): 3.4020 4.7632 6.2342 90.00 105.52 90.00
Last column: nearest neighbours and their distance in Å.
Atoms (fractional coordinates):
Y  0.0000  0.0000  0.0000  7 Cd 3.08-3.39, 2 Y 3.40
Zr  0.6602  0.5000  0.3184  7 Cd 3.14-3.34, 2 Zr 3.40, 4 Y 3.49-3.50
Cd  0.2587  0.0000  0.5129  2 Cd 2.93, 1 Y 3.08, 4 Zr 3.15-3.16
Cd  0.3988  0.5000  0.7957  2 Cd 2.93, 1 Zr 3.14, 4 Y 3.17-3.18